(1)
Material: Ba2InRhBr
Method: DFT, PBE
State: relaxed

Cell: 6.091 6.091 5.131 Å, 90.00 90.00 90.00°
Fractional positions:
Br 0.500 0.500 0.500
Ba 0.500 0.000 0.000
Rh 0.000 0.000 0.000
In 0.000 0.000 0.500
Ba 0.000 0.500 0.000

## Properties
Energy in eV per cell: -19.46
Space-group type: P4/mmm (123)

=====

(2)
Material: BaInSe2Br
Method: DFT, PBE
State: relaxed

Cell: 5.369 5.369 5.537 Å, 90.00 90.00 90.00°
Fractional positions:
Br 0.000 0.000 0.500
In 0.000 0.000 0.000
Se 0.500 0.000 0.000
Se 0.000 0.500 0.000
Ba 0.500 0.500 0.500

## Properties
Energy in eV per cell: -18.65
Space-group type: P4/mmm (123)
Relative energy among the computed polymorphs in meV/atom: 0.0

=====

(3)
Material: BaInSeBr
Method: DFT, PBE
State: relaxed

Cell: 5.629 5.629 5.629 Å, 60.00 60.00 60.00°
Fractional positions:
Se 0.750 0.750 0.750
Ba 0.000 0.000 0.000
Br 0.250 0.250 0.250
In 0.500 0.500 0.500

## Properties
Energy in eV per cell: -14.96
Space-group type: F-43m (216)

=====

Question: Which of these has the lowest energy?
Answer: Ba2InRhBr